This record from Alexandria via LeMat-Bulk describes an optimized crystal structure of NaCa2Mg2V3O12. The functional is PBE+U.

Cell: 10.897 10.897 10.897 Å, 109.50 109.50 109.41°
Element x y z (fractional)
Na  0.125  0.375  0.750
Na  0.375  0.125  0.250
Na  0.625  0.875  0.750
Na  0.875  0.625  0.250
Ca  0.128  0.250  0.378
Ca  0.250  0.372  0.122
Ca  0.250  0.872  0.622
Ca  0.372  0.750  0.122
Ca  0.628  0.250  0.878
Ca  0.750  0.128  0.378
Ca  0.750  0.628  0.878
Ca  0.872  0.750  0.622
Mg  0.000  0.000  0.000
Mg  0.000  0.000  0.500
Mg  0.000  0.500  0.000
Mg  0.000  0.500  0.500
Mg  0.500  0.000  0.000
Mg  0.500  0.000  0.500
Mg  0.500  0.500  0.000
Mg  0.500  0.500  0.500
V  0.123  0.750  0.873
V  0.125  0.875  0.250
V  0.250  0.123  0.873
V  0.250  0.623  0.373
V  0.375  0.625  0.750
V  0.377  0.250  0.627
V  0.623  0.750  0.373
V  0.625  0.375  0.250
V  0.750  0.377  0.627
V  0.750  0.877  0.127
V  0.875  0.125  0.750
V  0.877  0.250  0.127
O  0.015  0.306  0.901
O  0.018  0.206  0.121
O  0.085  0.706  0.689
O  0.095  0.886  0.401
O  0.104  0.982  0.689
O  0.107  0.615  0.412
O  0.114  0.015  0.209
O  0.115  0.607  0.912
O  0.194  0.203  0.588
O  0.194  0.485  0.599
O  0.203  0.115  0.008
O  0.206  0.585  0.189
O  0.294  0.482  0.379
O  0.297  0.306  0.912
O  0.306  0.893  0.008
O  0.306  0.905  0.291
O  0.385  0.297  0.492
O  0.386  0.595  0.901
O  0.393  0.806  0.508
O  0.396  0.085  0.879
O  0.405  0.806  0.791
O  0.415  0.104  0.621
O  0.482  0.604  0.189
O  0.485  0.386  0.291
O  0.515  0.614  0.709
O  0.518  0.396  0.811
O  0.585  0.896  0.379
O  0.595  0.194  0.209
O  0.604  0.915  0.121
O  0.607  0.194  0.492
O  0.614  0.405  0.099
O  0.615  0.703  0.508
O  0.694  0.095  0.709
O  0.694  0.107  0.992
O  0.703  0.694  0.088
O  0.706  0.518  0.621
O  0.794  0.415  0.811
O  0.797  0.885  0.992
O  0.806  0.515  0.401
O  0.806  0.797  0.412
O  0.885  0.393  0.088
O  0.886  0.985  0.791
O  0.893  0.385  0.588
O  0.896  0.018  0.311
O  0.905  0.114  0.599
O  0.915  0.294  0.311
O  0.982  0.794  0.879
O  0.985  0.694  0.099

The value obtained for the density of states at the Fermi level is 0.000 states/eV per atom. As for the total energy: -6.9544 eV/atom.